1.
Computed, not measured: a geometry-optimized DyEr3Ir4 structure at the PBE level of DFT.

a b c (Å): 4.889 4.889 6.597
angles (deg): 90.00 90.00 90.00
Space group P4/mmm (No. 123)
Symmetry-distinct sites (fractional):
1 Dy 0.000 0.000 0.000 x1
2 Er 0.000 0.000 0.500 x1
3 Er 0.500 0.500 0.000 x1
4 Er 0.500 0.500 0.500 x1
5 Ir 0.000 0.500 0.251 x4

Properties
- DOS at the Fermi energy: 4.2 states/eV/f.u.
- Crystal system: tetragonal
- Energy relative to the elements: -862 meV per atom
- Calculated density: 15.1 g cm⁻³


2.
Computed, not measured: a geometry-optimized DyEr5Ir6 structure at the PBE level of DFT.

a b c (Å): 4.694 14.101 7.118
angles (deg): 90.00 90.00 90.00
Space group Cmmm (No. 65)
Symmetry-distinct sites (fractional):
1 Dy 0.000 0.000 0.000 x2
2 Er 0.000 0.000 0.500 x2
3 Er 0.000 0.333 0.000 x4
4 Er 0.000 0.333 0.500 x4
5 Ir 0.000 0.167 0.251 x8
6 Ir 0.000 0.500 0.252 x4

Properties
- DOS at the Fermi energy: 3.6 states/eV/f.u.
- Crystal system: orthorhombic
- Energy relative to the elements: -873 meV per atom
- Calculated density: 15.2 g cm⁻³


3.
Computed, not measured: a geometry-optimized LiDyErIr structure at the PBE level of DFT.

a b c (Å): 6.917 6.917 6.917
angles (deg): 90.00 90.00 90.00
Space group F-43m (No. 216)
Symmetry-distinct sites (fractional):
1 Li 0.000 0.000 0.000 x4
2 Dy 0.250 0.250 0.750 x4
3 Er 0.250 0.250 0.250 x4
4 Ir 0.000 0.000 0.500 x4

Properties
- DOS at the Fermi energy: 2.8 states/eV/f.u.
- Crystal system: cubic
- Energy relative to the elements: -594 meV per atom
- Calculated density: 10.6 g cm⁻³


4.
Computed, not measured: a geometry-optimized DyErMgIr structure at the PBE level of DFT.

a b c (Å): 7.075 7.075 7.075
angles (deg): 90.00 90.00 90.00
Space group F-43m (No. 216)
Symmetry-distinct sites (fractional):
1 Dy 0.000 0.000 0.000 x4
2 Er 0.000 0.000 0.500 x4
3 Mg 0.250 0.250 0.750 x4
4 Ir 0.250 0.250 0.250 x4

Properties
- DOS at the Fermi energy: 2.2 states/eV/f.u.
- Crystal system: cubic
- Energy relative to the elements: -472 meV per atom
- Calculated density: 10.2 g cm⁻³


5.
Computed, not measured: a geometry-optimized DyErMnIr structure at the PBE level of DFT.

a b c (Å): 6.911 6.911 6.911
angles (deg): 90.00 90.00 90.00
Space group F-43m (No. 216)
Symmetry-distinct sites (fractional):
1 Dy 0.000 0.000 0.000 x4
2 Er 0.000 0.000 0.500 x4
3 Mn 0.250 0.250 0.250 x4
4 Ir 0.250 0.250 0.750 x4

Properties
- DOS at the Fermi energy: 4.7 states/eV/f.u.
- Crystal system: cubic
- Energy relative to the elements: -327 meV per atom
- Calculated density: 11.6 g cm⁻³


6.
Computed, not measured: a geometry-optimized DyErIrO6 structure at the PBE level of DFT.

a b c (Å): 5.4543 5.4543 9.5752
angles (deg): 90.00 90.00 120.00
Space group P-31c (No. 163)
Symmetry-distinct sites (fractional):
1 Dy 0.0000 0.0000 0.0000 x2
2 Er 0.3333 0.6667 0.2500 x2
3 Ir 0.3333 0.6667 0.7500 x2
4 O 0.0386 0.3674 0.6346 x12

Properties
- DOS at the Fermi energy: 3.5 states/eV/f.u.
- Crystal system: trigonal
- Uncorrected formation energy: -20.022 eV per formula unit
- Calculated density: 8.3 g cm⁻³


7.
Computed, not measured: a geometry-optimized DyEr2IrO8 structure at the PBE level of DFT.

a b c (Å): 7.053 7.114 6.740
angles (deg): 90.00 90.00 90.00
Space group Cmmm (No. 65)
Symmetry-distinct sites (fractional):
1 Dy 0.000 0.000 0.000 x2
2 Er 0.000 0.500 0.248 x4
3 Ir 0.000 0.000 0.500 x2
4 O 0.000 0.185 0.289 x8
5 O 0.191 0.500 0.000 x4
6 O 0.229 0.500 0.500 x4

Properties
- DOS at the Fermi energy: 5.4 states/eV/f.u.
- Crystal system: orthorhombic
- Uncorrected formation energy: -28.601 eV per formula unit
- Calculated density: 8.0 g cm⁻³


8.
Computed, not measured: a geometry-optimized DyErIrOs structure at the PBE level of DFT.

a b c (Å): 6.797 6.797 6.797
angles (deg): 90.00 90.00 90.00
Space group F-43m (No. 216)
Symmetry-distinct sites (fractional):
1 Dy 0.000 0.000 0.000 x4
2 Er 0.000 0.000 0.500 x4
3 Ir 0.250 0.250 0.250 x4
4 Os 0.250 0.250 0.750 x4

Properties
- DOS at the Fermi energy: 1.4 states/eV/f.u.
- Crystal system: cubic
- Energy relative to the elements: -480 meV per atom
- Calculated density: 15.1 g cm⁻³


9.
Computed, not measured: a geometry-optimized DyErP2Ir5 structure at the PBE level of DFT.

a b c (Å): 3.998 3.998 11.040
angles (deg): 90.00 90.00 90.00
Space group P4/mmm (No. 123)
Symmetry-distinct sites (fractional):
1 Dy 0.000 0.000 0.000 x1
2 Er 0.000 0.000 0.500 x1
3 P 0.500 0.500 0.206 x2
4 Ir 0.000 0.500 0.305 x4
5 Ir 0.500 0.500 0.000 x1

Properties
- DOS at the Fermi energy: 5.4 states/eV/f.u.
- Crystal system: tetragonal
- Energy relative to the elements: -614 meV per atom
- Calculated density: 12.7 g cm⁻³


10.
Computed, not measured: a geometry-optimized DyErIrPt structure at the PBE level of DFT.

a b c (Å): 3.441 3.441 6.906
angles (deg): 90.00 90.00 90.00
Space group P4mm (No. 99)
Symmetry-distinct sites (fractional):
1 Dy 0.000 0.000 0.000 x1
2 Er 0.000 0.000 0.485 x1
3 Ir 0.500 0.500 0.245 x1
4 Pt 0.500 0.500 0.738 x1

Properties
- DOS at the Fermi energy: 1.5 states/eV/f.u.
- Crystal system: tetragonal
- Energy relative to the elements: -1063 meV per atom
- Calculated density: 14.6 g cm⁻³


11.
Computed, not measured: a geometry-optimized DyErIrPt structure at the PBE level of DFT.

a b c (Å): 6.888 6.888 6.888
angles (deg): 90.00 90.00 90.00
Space group F-43m (No. 216)
Symmetry-distinct sites (fractional):
1 Dy 0.000 0.000 0.000 x4
2 Er 0.000 0.000 0.500 x4
3 Ir 0.250 0.250 0.750 x4
4 Pt 0.250 0.250 0.250 x4

Properties
- DOS at the Fermi energy: 1.7 states/eV/f.u.
- Crystal system: cubic
- Energy relative to the elements: -1047 meV per atom
- Calculated density: 14.6 g cm⁻³


12.
Computed, not measured: a geometry-optimized DyErIrRh structure at the PBE level of DFT.

a b c (Å): 6.819 6.819 6.819
angles (deg): 90.00 90.00 90.00
Space group F-43m (No. 216)
Symmetry-distinct sites (fractional):
1 Dy 0.000 0.000 0.000 x4
2 Er 0.000 0.000 0.500 x4
3 Ir 0.250 0.250 0.250 x4
4 Rh 0.250 0.250 0.750 x4

Properties
- DOS at the Fermi energy: 1.4 states/eV/f.u.
- Crystal system: cubic
- Energy relative to the elements: -903 meV per atom
- Calculated density: 13.1 g cm⁻³


Record-wise VASP energy values, in eV/cell: -60.63, -182.12, -89.26, -86.03, -114.02, -135.59, -181.71, -124.70, -69.82, -28.32, -113.03, -115.96